# PBE-GGA CdPb3, relaxed
# formation energy	0.11	eV/atom
data_CdPb3
_chemical_formula_sum 'Cd2 Pb6'
_space_group_name_H-M_alt 'P m -3 n'
_space_group_IT_number 223
_space_group_name_Hall '-P 4n 2 3'
_cell_length_a 6.245
_cell_length_b 6.245
_cell_length_c 6.245
_cell_angle_alpha 90.00
_cell_angle_beta 90.00
_cell_angle_gamma 90.00
loop_
_atom_site_label
_atom_site_type_symbol
_atom_site_fract_x
_atom_site_fract_y
_atom_site_fract_z
_atom_site_occupancy
Cd1 Cd 0.000 0.000 0.000 1
Pb1 Pb 0.000 0.250 0.500 1

# PBE-GGA CdPb, relaxed
# formation energy	0.07	eV/atom
data_CdPb
_chemical_formula_sum 'Cd6 Pb6'
_space_group_name_H-M_alt 'P 63/m m c'
_space_group_IT_number 194
_space_group_name_Hall '-P 6c 2c'
_cell_length_a 9.1706
_cell_length_b 9.1706
_cell_length_c 4.7095
_cell_angle_alpha 90.00
_cell_angle_beta 90.00
_cell_angle_gamma 120.00
loop_
_atom_site_label
_atom_site_type_symbol
_atom_site_fract_x
_atom_site_fract_y
_atom_site_fract_z
_atom_site_occupancy
Cd1 Cd 0.1195 0.5597 0.2500 1
Pb1 Pb 0.1527 0.3055 0.7500 1

# PBE-GGA CdPb, relaxed
# formation energy	0.03	eV/atom
data_CdPb
_chemical_formula_sum 'Cd2 Pb2'
_space_group_name_H-M_alt 'P 1 21/m 1'
_space_group_IT_number 11
_cell_length_a 3.497
_cell_length_b 4.335
_cell_length_c 7.259
_cell_angle_alpha 90.00
_cell_angle_beta 90.01
_cell_angle_gamma 90.00
loop_
_space_group_symop_operation_xyz
'x,y,z'
'-x,-y,-z'
'-x,y+1/2,-z'
'x,-y+1/2,z'
loop_
_atom_site_label
_atom_site_type_symbol
_atom_site_fract_x
_atom_site_fract_y
_atom_site_fract_z
_atom_site_occupancy
Cd1 Cd 0.249 0.250 0.104 1
Pb1 Pb 0.251 0.250 0.644 1

# PBE-GGA Cd4Pb5, relaxed
# formation energy	0.05	eV/atom
# relative energy among the computed polymorphs	0.00	eV/f.u.
data_Cd4Pb5
_chemical_formula_sum 'Cd8 Pb10'
_space_group_name_H-M_alt 'I 4/m m m'
_space_group_IT_number 139
_space_group_name_Hall '-I 4 2'
_cell_length_a 10.101
_cell_length_b 10.101
_cell_length_c 4.959
_cell_angle_alpha 90.00
_cell_angle_beta 90.00
_cell_angle_gamma 90.00
loop_
_atom_site_label
_atom_site_type_symbol
_atom_site_fract_x
_atom_site_fract_y
_atom_site_fract_z
_atom_site_occupancy
Cd1 Cd 0.000 0.346 0.000 1
Pb1 Pb 0.000 0.000 0.000 1
Pb2 Pb 0.170 0.170 0.500 1

# PBE-GGA Cd4Pb3, relaxed
# formation energy	0.06	eV/atom
data_Cd4Pb3
_chemical_formula_sum 'Cd8 Pb6'
_space_group_name_H-M_alt 'I 4/m m m'
_space_group_IT_number 139
_space_group_name_Hall '-I 4 2'
_cell_length_a 3.775
_cell_length_b 3.775
_cell_length_c 26.704
_cell_angle_alpha 90.00
_cell_angle_beta 90.00
_cell_angle_gamma 90.00
loop_
_atom_site_label
_atom_site_type_symbol
_atom_site_fract_x
_atom_site_fract_y
_atom_site_fract_z
_atom_site_occupancy
Cd1 Cd 0.000 0.000 0.075 1
Cd2 Cd 0.000 0.000 0.367 1
Pb1 Pb 0.000 0.000 0.206 1
Pb2 Pb 0.000 0.000 0.500 1

# PBE-GGA Cd5Pb3, relaxed
# formation energy	0.06	eV/atom
# relative energy among the computed polymorphs	0.19	eV/f.u.
data_Cd5Pb3
_chemical_formula_sum 'Cd10 Pb6'
_space_group_name_H-M_alt 'C m m m'
_space_group_IT_number 65
_space_group_name_Hall '-C 2 2'
_cell_length_a 9.401
_cell_length_b 9.407
_cell_length_c 4.787
_cell_angle_alpha 90.00
_cell_angle_beta 90.00
_cell_angle_gamma 90.00
loop_
_atom_site_label
_atom_site_type_symbol
_atom_site_fract_x
_atom_site_fract_y
_atom_site_fract_z
_atom_site_occupancy
Cd1 Cd 0.000 0.000 0.000 1
Cd2 Cd 0.000 0.249 0.500 1
Cd3 Cd 0.250 0.250 0.000 1
Pb1 Pb 0.000 0.500 0.000 1
Pb2 Pb 0.239 0.000 0.500 1

# PBE-GGA Cd7Pb, relaxed
# formation energy	0.03	eV/atom
# relative energy among the computed polymorphs	0.00	eV/f.u.
data_Cd7Pb
_chemical_formula_sum 'Cd14 Pb2'
_space_group_name_H-M_alt 'I 4/m m m'
_space_group_IT_number 139
_space_group_name_Hall '-I 4 2'
_cell_length_a 4.571
_cell_length_b 4.571
_cell_length_c 18.333
_cell_angle_alpha 90.00
_cell_angle_beta 90.00
_cell_angle_gamma 90.00
loop_
_atom_site_label
_atom_site_type_symbol
_atom_site_fract_x
_atom_site_fract_y
_atom_site_fract_z
_atom_site_occupancy
Cd1 Cd 0.000 0.000 0.000 1
Cd2 Cd 0.000 0.000 0.249 1
Cd3 Cd 0.000 0.500 0.132 1
Pb1 Pb 0.000 0.000 0.500 1

# PBE-GGA Cd17Pb12, relaxed
# formation energy	0.09	eV/atom
data_Cd17Pb12
_chemical_formula_sum 'Cd34 Pb24'
_space_group_name_H-M_alt 'I -4 3 m'
_space_group_IT_number 217
_space_group_name_Hall 'I -4 2 3'
_cell_length_a 11.761
_cell_length_b 11.761
_cell_length_c 11.761
_cell_angle_alpha 90.00
_cell_angle_beta 90.00
_cell_angle_gamma 90.00
loop_
_atom_site_label
_atom_site_type_symbol
_atom_site_fract_x
_atom_site_fract_y
_atom_site_fract_z
_atom_site_occupancy
Cd1 Cd 0.000 0.000 0.000 1
Cd2 Cd 0.057 0.363 0.637 1
Cd3 Cd 0.168 0.168 0.168 1
Pb1 Pb 0.098 0.098 0.703 1